# Ca2Nb2CrO8

A geometry-optimized Ca2Nb2CrO8 structure (PBE with a Hubbard U, Alexandria).

Lattice parameters (Å, degrees): 5.480 6.521 9.997 105.23 91.47 92.06
Positions (direct):
O: 0.342 0.545 0.370
O: 0.070 0.990 0.146
O: 0.001 0.738 0.627
O: 0.506 0.863 0.630
O: 0.549 0.764 0.124
O: 0.163 0.150 0.628
O: 0.494 0.137 0.370
O: 0.837 0.850 0.372
O: 0.593 0.237 0.152
O: 0.930 0.010 0.854
O: 0.451 0.236 0.876
O: 0.095 0.430 0.111
O: 0.999 0.262 0.373
O: 0.407 0.763 0.848
O: 0.905 0.570 0.889
O: 0.658 0.455 0.630
Ca: 0.745 0.536 0.416
Ca: 0.255 0.464 0.584
Ca: 0.243 0.888 0.421
Ca: 0.757 0.112 0.579
Cr: 0.762 0.344 0.995
Cr: 0.238 0.656 0.005
Nb: 0.747 0.716 0.770
Nb: 0.744 0.989 0.230
Nb: 0.256 0.011 0.770
Nb: 0.253 0.284 0.230

Final energy ... -8.08 eV/atom
Space-group type ... P-1, No. 2
Theoretical density ... 4.30 g/cm3